# 1
Compound: Zr2AlRh
Source: Alexandria
Functional: PBE-GGA
Structure: relaxed

Lattice parameters (Å, degrees): 5.506 5.506 5.506 137.85 137.85 61.14
Element x y z (fractional)
Zr 0.250 0.750 0.500
Al 0.500 0.500 0.000
Rh 0.750 0.250 0.500
Zr 0.000 0.000 0.000

Results
Calculated volume ... 74 Å³ per cell
DOS at the Fermi energy ... 3.50 states/eV/f.u.
Final energy ... -7.570 eV per atom
Symmetry ... No. 119
Energy of formation from the pure elements ... -0.52 eV per atom

# 2
Compound: ZrAl2Rh
Source: Alexandria
Functional: PBE-GGA
Structure: relaxed

Lattice parameters (Å, degrees): 9.128 9.128 9.128 18.77 18.77 18.77
Element x y z (fractional)
Zr 0.754 0.754 0.754
Al 0.995 0.995 0.995
Al 0.244 0.244 0.244
Rh 0.507 0.507 0.507

Results
Calculated volume ... 69 Å³ per cell
DOS at the Fermi energy ... 3.84 states/eV/f.u.
Final energy ... -6.166 eV per atom
Symmetry ... No. 160
Energy of formation from the pure elements ... -0.32 eV per atom

# 3
Compound: Zr2AlRh
Source: Alexandria
Functional: PBE-GGA
Structure: relaxed

Lattice parameters (Å, degrees): 3.210 3.210 7.247 90.00 90.00 90.00
Element x y z (fractional)
Al 0.000 0.000 0.543
Zr 0.000 0.000 0.964
Zr 0.500 0.500 0.266
Rh 0.500 0.500 0.727

Results
Calculated volume ... 75 Å³ per cell
DOS at the Fermi energy ... 1.77 states/eV/f.u.
Final energy ... -7.629 eV per atom
Symmetry ... No. 99
Energy of formation from the pure elements ... -0.58 eV per atom

# 4
Compound: ZrAl2Rh
Source: Alexandria
Functional: PBE-GGA
Structure: relaxed

Lattice parameters (Å, degrees): 4.523 4.523 4.523 60.00 60.00 60.00
Last column: magnetic moment on the atom in μB.
Element x y z (fractional)
Al 0.250 0.250 0.250  0.02
Zr 0.000 0.000 0.000  0.50
Al 0.750 0.750 0.750  0.02
Rh 0.500 0.500 0.500  0.36

Results
Calculated volume ... 65 Å³ per cell
DOS at the Fermi energy ... 2.53 states/eV/f.u.
Final energy ... -6.347 eV per atom
Symmetry ... No. 225
Energy of formation from the pure elements ... -0.50 eV per atom